No. 1
Below is EuMgHgRh after structural relaxation, with properties calculated at the PBE-GGA level.

Cell: 4.9836 4.9836 4.9836 Å, 60.00 60.00 60.00°
Closest atoms and distances in Å follow each position.
Positions (direct):
Eu1 0.0000 0.0000 0.0000  4 Hg 3.05, 4 Rh 3.05
Mg1 0.5000 0.5000 0.5000  4 Rh 3.05, 4 Hg 3.05
Hg1 0.2500 0.2500 0.2500  4 Mg 3.05, 4 Eu 3.05
Rh1 0.7500 0.7500 0.7500  4 Mg 3.05, 4 Eu 3.05

Computed properties:
* D(E_F): 8.9 states/eV/f.u.
* uncorrected energy: -0.1899 Ha/atom


No. 2
Below is ThMgAgSn after structural relaxation, with properties calculated at the PBE-GGA level.

Cell: 5.1994 5.1994 5.1994 Å, 60.00 60.00 60.00°
Closest atoms and distances in Å follow each position.
Positions (direct):
Th1 0.0000 0.0000 0.0000  4 Sn 3.18, 4 Ag 3.18
Mg1 0.5000 0.5000 0.5000  4 Sn 3.18, 4 Ag 3.18
Ag1 0.2500 0.2500 0.2500  4 Th 3.18, 4 Mg 3.18
Sn1 0.7500 0.7500 0.7500  4 Th 3.18, 4 Mg 3.18

Computed properties:
* D(E_F): 4.4 states/eV/f.u.
* uncorrected energy: -0.1535 Ha/atom


No. 3
Below is Er2PuPaP4 after structural relaxation, with properties calculated at the PBE-GGA level.

Cell: 6.8651 3.9828 6.8796 Å, 90.00 109.58 90.00°
Closest atoms and distances in Å follow each position.
Positions (direct):
Er1 0.0000 0.0000 0.0000  6 P 2.80-2.81
Er2 0.0000 0.5000 0.5000  6 P 2.82-2.83
Pu1 0.5000 0.0000 0.5000  6 P 2.81-2.82
Pa1 0.5000 0.5000 0.0000  6 P 2.79-2.80
P1 0.2506 0.0000 0.7526  3 Er 2.80-2.82, 2 Pa 2.80, 1 Pu 2.82
P2 0.2519 0.5000 0.2484  1 Pa 2.79, 2 Pu 2.81, 3 Er 2.81-2.83
P3 0.7481 0.5000 0.7516  1 Pa 2.79, 2 Pu 2.81, 3 Er 2.81-2.83
P4 0.7494 0.0000 0.2474  3 Er 2.80-2.82, 2 Pa 2.80, 1 Pu 2.82

Computed properties:
* D(E_F): 10.7 states/eV/f.u.
* uncorrected energy: -0.3035 Ha/atom


No. 4
Below is Ga3OsPd after structural relaxation, with properties calculated at the PBE-GGA level.

Cell: 4.7523 4.7523 4.7523 Å, 90.00 90.00 90.00°
Closest atoms and distances in Å follow each position.
Positions (direct):
Ga1 0.0000 0.0000 0.5000  2 Os 2.38
Ga2 0.0000 0.5000 0.0000  2 Os 2.38
Ga3 0.5000 0.0000 0.0000  2 Os 2.38
Os1 0.0000 0.0000 0.0000  6 Ga 2.38
Pd1 0.5000 0.5000 0.5000  12 Ga 3.36

Computed properties:
* D(E_F): 2.6 states/eV/f.u.
* energy above the lowest structure with this stoichiometry: 0.00 kJ per mole of atoms


No. 5
Below is Li8MgAg2 after structural relaxation, with properties calculated at the PBE-GGA level.

Cell: 8.0479 8.0479 4.9220 Å, 107.78 107.78 124.87°
Closest atoms and distances in Å follow each position.
Positions (direct):
Li1 0.0956 0.3737 0.7337  5 Li 2.63-2.94, 2 Ag 2.92-2.93
Li2 0.2043 0.7957 0.0000  6 Li 2.68-2.94, 4 Ag 2.83-3.00, 1 Mg 2.92
Li3 0.3737 0.0956 0.7337  5 Li 2.63-2.94, 2 Ag 2.92-2.93
Li4 0.4977 0.4977 0.2604  2 Li 2.34-2.59
Li5 0.5023 0.5023 0.7396  2 Li 2.34-2.59
Li6 0.6263 0.9044 0.2663  5 Li 2.63-2.94, 2 Ag 2.92-2.93
Li7 0.7957 0.2043 0.0000  6 Li 2.68-2.94, 4 Ag 2.83-3.00, 1 Mg 2.92
Li8 0.9044 0.6263 0.2663  5 Li 2.63-2.94, 2 Ag 2.92-2.93
Mg1 0.0000 0.0000 0.0000  6 Li 2.92-3.05
Ag1 0.3244 0.6756 0.5000  12 Li 2.76-3.00
Ag2 0.6756 0.3244 0.5000  12 Li 2.76-3.00

Computed properties:
* D(E_F): 5.2 states/eV/f.u.
* energy above the lowest structure with this stoichiometry: 3.63 kJ per mole of atoms


No. 6
Below is Ac2LaSm4Dy after structural relaxation, with properties calculated at the PBE-GGA level.

Cell: 9.8578 9.8578 7.1345 Å, 111.17 111.17 88.71°
Closest atoms and distances in Å follow each position.
Positions (direct):
Ac1 0.0000 0.0000 0.0000  2 Ac 3.57, 6 Sm 3.59-3.67
Ac2 0.0000 0.0000 0.5000  2 Ac 3.57, 6 Sm 3.59-3.67
Ac3 0.0000 0.5000 0.0000  2 Dy 3.57, 6 Sm 3.58-3.59
Ac4 0.5000 0.0000 0.5000  2 Dy 3.57, 6 Sm 3.58-3.59
La1 0.5000 0.5000 0.0000  6 Sm 3.30-3.40, 2 La 3.57
La2 0.5000 0.5000 0.5000  6 Sm 3.30-3.40, 2 La 3.57
Sm1 0.2533 0.2731 0.5113  1 Dy 3.31, 2 La 3.38-3.40, 2 Sm 3.58, 3 Ac 3.59-3.67
Sm2 0.2607 0.7394 0.5159  1 La 3.30, 1 Sm 3.34, 2 Dy 3.47, 3 Ac 3.58-3.59
Sm3 0.2606 0.7393 0.9841  1 La 3.30, 1 Sm 3.34, 2 Dy 3.47, 3 Ac 3.58-3.59
Sm4 0.2731 0.2533 0.0113  1 Dy 3.31, 2 La 3.38-3.40, 2 Sm 3.58, 3 Ac 3.59-3.67
Sm5 0.7269 0.7467 0.9887  1 Dy 3.31, 2 La 3.38-3.40, 2 Sm 3.58, 3 Ac 3.59-3.67
Sm6 0.7394 0.2607 0.0159  1 La 3.30, 1 Sm 3.34, 2 Dy 3.47, 3 Ac 3.58-3.59
Sm7 0.7393 0.2606 0.4841  1 La 3.30, 1 Sm 3.34, 2 Dy 3.47, 3 Ac 3.58-3.59
Sm8 0.7467 0.7269 0.4887  1 Dy 3.31, 2 La 3.38-3.40, 2 Sm 3.58, 3 Ac 3.59-3.67
Dy1 0.0000 0.5000 0.5000  6 Sm 3.31-3.47, 2 Ac 3.57
Dy2 0.5000 0.0000 0.0000  6 Sm 3.31-3.47, 2 Ac 3.57

Computed properties:
* D(E_F): 18.6 states/eV/f.u.
* uncorrected energy: -0.1539 Ha/atom